P | Entry from the Alexandria database: a relaxed KCdInGeBr crystal (PBE-GGA).

Properties
density = 4.06 Mg/m³
space group = Cm, No. 8
total magnetization = 0.00 Bohr magnetons per cell

abc: 4.7216 4.7216 9.3512
angles: 104.34 104.34 59.10
Closest atoms and distances in Å follow each position.
Positions (direct):
K 0.0000 0.0000 0.0000  3 Br 3.16
Cd 0.8269 0.8269 0.4913  1 Br 2.78, 3 Ge 2.95-2.97
In 0.2315 0.2315 0.7034  3 Ge 2.80-2.82
Ge 0.5376 0.5376 0.6227  3 In 2.80-2.82, 3 Cd 2.95-2.97
Br 0.7286 0.7286 0.1814  1 Cd 2.78

Q | Entry from the Alexandria database: a relaxed KCdInGeBr crystal (PBE-GGA).

Properties
density = 4.01 Mg/m³
space group = Cm, No. 8
total magnetization = 0.00 Bohr magnetons per cell

abc: 8.5049 8.5049 4.8739
angles: 104.37 104.37 30.58
Closest atoms and distances in Å follow each position.
Positions (direct):
K 0.0000 0.0000 0.0000  4 Br 3.39, 2 Ge 3.64
Cd 0.2505 0.2505 0.2554  2 Ge 2.59-2.75
In 0.7253 0.7253 0.8166  2 Ge 2.74, 1 Br 2.91, 2 Cd 3.05
Ge 0.3196 0.3196 0.7975  2 Cd 2.59-2.75, 2 In 2.74
Br 0.5458 0.5458 0.5390  1 In 2.91

R | Entry from the Alexandria database: a relaxed KCdInGeBr crystal (PBE-GGA).

Properties
density = 4.29 Mg/m³
space group = Pm, No. 6
total magnetization = 0.00 Bohr magnetons per cell

abc: 4.5385 4.5284 8.1956
angles: 90.00 105.94 90.00
Closest atoms and distances in Å follow each position.
Positions (direct):
K 0.0000 0.0000 0.0000  4 Br 3.40
Cd 0.7497 0.5000 0.5061  2 Ge 2.77, 1 Br 2.86
In 0.2576 0.0000 0.5243  2 Ge 2.69
Ge 0.3504 0.5000 0.7080  2 In 2.69, 2 Cd 2.77
Br 0.5713 0.5000 0.1434  1 Cd 2.86

Most stable to least stable, the ends of the list are P and Q.

P | Entry from the Alexandria database: a relaxed CdHBr crystal (PBE-GGA).

Properties
density = 4.93 Mg/m³
space group = Pm, No. 6
total magnetization = 0.00 Bohr magnetons per cell

abc: 4.1972 3.6698 4.2253
angles: 90.00 90.07 90.00
Closest atoms and distances in Å follow each position.
Positions (direct):
Cd 0.0000 0.0000 0.0000  2 H 1.85
H 0.9980 0.5000 0.0618  2 Cd 1.85
Br 0.4984 0.0000 0.5466  4 Cd 2.84-3.13

Q | Entry from the Alexandria database: a relaxed CdHBr crystal (PBE-GGA).

Properties
density = 4.14 Mg/m³
space group = P-1, No. 2
total magnetization = 0.00 Bohr magnetons per cell

abc: 4.2522 5.8022 6.5015
angles: 74.97 89.97 89.95
Closest atoms and distances in Å follow each position.
Positions (direct):
Cd 0.2491 0.2439 0.1027  1 H 1.72
Cd 0.7509 0.7561 0.8973  1 H 1.72
H 0.2499 0.5062 0.1792  1 Cd 1.72
H 0.7501 0.4938 0.8208  1 Cd 1.72
Br 0.2504 0.0789 0.7444  3 Cd 2.74-2.84
Br 0.7496 0.9211 0.2556  3 Cd 2.74-2.84

Most stable to least stable, the ends of the list are P and Q.

P | Entry from the Alexandria database: a relaxed CdHBr3 crystal (PBE-GGA).

Properties
density = 3.50 Mg/m³
space group = Pm-3m, No. 221
total magnetization = 1.98 Bohr magnetons per cell

abc: 5.5114 5.5114 5.5114
angles: 90.00 90.00 90.00
Closest atoms and distances in Å follow each position.
Positions (direct):
Cd 0.0000 0.0000 0.0000  6 Br 2.76
H 0.5000 0.5000 0.5000  12 Br 3.90
Br 0.0000 0.0000 0.5000  2 Cd 2.76
Br 0.0000 0.5000 0.0000  2 Cd 2.76
Br 0.5000 0.0000 0.0000  2 Cd 2.76

Q | Entry from the Alexandria database: a relaxed CdHBr3 crystal (PBE-GGA).

Properties
density = 5.36 Mg/m³
space group = Pm-3m, No. 221
total magnetization = 0.00 Bohr magnetons per cell

abc: 4.7828 4.7828 4.7828
angles: 90.00 90.00 90.00
Closest atoms and distances in Å follow each position.
Positions (direct):
Cd 0.0000 0.0000 0.0000  12 Br 3.38
H 0.5000 0.5000 0.5000  6 Br 2.39
Br 0.0000 0.5000 0.5000  2 H 2.39
Br 0.5000 0.0000 0.5000  2 H 2.39
Br 0.5000 0.5000 0.0000  2 H 2.39

Most stable to least stable, the ends of the list are P and Q.

P | Entry from the Alexandria database: a relaxed Cd3HBr crystal (PBE-GGA).

Properties
density = 2.75 Mg/m³
space group = Pm-3m, No. 221
total magnetization = 0.42 Bohr magnetons per cell

abc: 6.3175 6.3175 6.3175
angles: 90.00 90.00 90.00
Closest atoms and distances in Å follow each position.
Positions (direct):
Cd 0.0000 0.0000 0.5000  2 Br 3.16
Cd 0.0000 0.5000 0.0000  2 Br 3.16
Cd 0.5000 0.0000 0.0000  2 Br 3.16
H 0.5000 0.5000 0.5000  12 Cd 4.47
Br 0.0000 0.0000 0.0000  6 Cd 3.16

Q | Entry from the Alexandria database: a relaxed Cd3HBr crystal (PBE-GGA).

Properties
density = 6.23 Mg/m³
space group = Pm-3m, No. 221
total magnetization = 0.00 Bohr magnetons per cell

abc: 4.8121 4.8121 4.8121
angles: 90.00 90.00 90.00
Closest atoms and distances in Å follow each position.
Positions (direct):
Cd 0.0000 0.0000 0.5000  2 H 2.41
Cd 0.0000 0.5000 0.0000  2 H 2.41
Cd 0.5000 0.0000 0.0000  2 H 2.41
H 0.0000 0.0000 0.0000  6 Cd 2.41
Br 0.5000 0.5000 0.5000  12 Cd 3.40

Most stable to least stable, the ends of the list are Q and P.

P | Entry from the Alexandria database: a relaxed Cd2HBr2 crystal (PBE-GGA).

Properties
density = 3.91 Mg/m³
space group = P4/mbm, No. 127
total magnetization = 2.00 Bohr magnetons per cell

abc: 9.0865 9.0865 3.9665
angles: 90.00 90.00 90.00
Closest atoms and distances in Å follow each position.
Positions (direct):
Cd 0.1038 0.3962 0.0000  1 Cd 2.67, 2 Br 2.72
Cd 0.3962 0.8962 0.0000  1 Cd 2.67, 2 Br 2.72
Cd 0.6038 0.1038 0.0000  1 Cd 2.67, 2 Br 2.72
Cd 0.8962 0.6038 0.0000  1 Cd 2.67, 2 Br 2.72
H 0.0000 0.0000 0.5000  4 Br 3.21
H 0.5000 0.5000 0.5000  4 Br 3.21
Br 0.2482 0.2518 0.5000  2 Cd 2.72
Br 0.2518 0.7518 0.5000  2 Cd 2.72
Br 0.7482 0.2482 0.5000  2 Cd 2.72
Br 0.7518 0.7482 0.5000  2 Cd 2.72

Q | Entry from the Alexandria database: a relaxed Cd2HBr2 crystal (PBE-GGA).

Properties
density = 3.80 Mg/m³
space group = I4/mmm, No. 139
total magnetization = 0.94 Bohr magnetons per cell

abc: 6.4400 6.4400 6.4400
angles: 126.10 126.10 79.72
Closest atoms and distances in Å follow each position.
Positions (direct):
Cd 0.2500 0.7500 0.5000  4 Br 2.95
Cd 0.7500 0.2500 0.5000  4 Br 2.95
H 0.0000 0.0000 0.0000  2 Br 2.92
Br 0.2951 0.2951 0.0000  1 H 2.92, 4 Cd 2.95
Br 0.7049 0.7049 0.0000  1 H 2.92, 4 Cd 2.95

Most stable to least stable, the ends of the list are P and Q.

P | Entry from the Alexandria database: a relaxed NaCdHBr2 crystal (PBE-GGA).

Properties
density = 2.58 Mg/m³
space group = P4/mmm, No. 123
total magnetization = 0.97 Bohr magnetons per cell

abc: 5.6305 5.6305 6.0224
angles: 90.00 90.00 90.00
Closest atoms and distances in Å follow each position.
Positions (direct):
Na 0.0000 0.0000 0.0000  2 Cd 3.01
Cd 0.0000 0.0000 0.5000  4 Br 2.82, 2 Na 3.01
H 0.5000 0.5000 0.0000  4 Na 3.98, 8 Br 4.12
Br 0.0000 0.5000 0.5000  2 Cd 2.82
Br 0.5000 0.0000 0.5000  2 Cd 2.82

Q | Entry from the Alexandria database: a relaxed NaCdHBr2 crystal (PBE-GGA).

Properties
density = 4.02 Mg/m³
space group = P4/mmm, No. 123
total magnetization = 0.00 Bohr magnetons per cell

abc: 5.6959 5.6959 3.7740
angles: 90.00 90.00 90.00
Closest atoms and distances in Å follow each position.
Positions (direct):
Na 0.0000 0.0000 0.0000  8 Br 3.42, 2 Na 3.77
Cd 0.5000 0.5000 0.5000  2 H 1.89
H 0.5000 0.5000 0.0000  2 Cd 1.89
Br 0.0000 0.5000 0.5000  2 Cd 2.85
Br 0.5000 0.0000 0.5000  2 Cd 2.85

Most stable to least stable, the ends of the list are Q and P.